Record 1
Entry from Alexandria: crystalline Na6Sr12Pt at its relaxed geometry (GGA-PBE).

Structure (POSCAR):
```
Na6Sr12Pt
1.0
7.142 4.123 5.422
-7.142 4.123 5.422
0.000 -8.246 5.422
Na Sr Pt
6 12 1
Direct
0.131 0.457 0.364
0.364 0.131 0.457
0.457 0.364 0.131
0.543 0.636 0.869
0.636 0.869 0.543
0.869 0.543 0.636
0.034 0.704 0.956
0.044 0.966 0.296
0.222 0.382 0.739
0.261 0.778 0.618
0.296 0.044 0.966
0.382 0.739 0.222
0.618 0.261 0.778
0.704 0.956 0.034
0.739 0.222 0.382
0.778 0.618 0.261
0.956 0.034 0.704
0.966 0.296 0.044
0.000 0.000 0.000
```

Computed properties:
The total magnetization comes out at 0.00 μB per cell.


Record 2
Entry from Alexandria: crystalline TbZnCo2 at its relaxed geometry (GGA-PBE).

Structure (POSCAR):
```
TbZnCo2
1.0
5.281 0.000 0.000
0.000 4.713 0.000
0.000 0.000 11.674
Tb Zn Co
4 4 8
Direct
0.250 0.000 0.093
0.250 0.500 0.389
0.750 0.000 0.907
0.750 0.500 0.611
0.250 0.000 0.808
0.250 0.500 0.821
0.750 0.000 0.192
0.750 0.500 0.179
0.000 0.000 0.500
0.000 0.500 0.000
0.250 0.260 0.628
0.250 0.740 0.628
0.500 0.000 0.500
0.500 0.500 0.000
0.750 0.260 0.372
0.750 0.740 0.372
```

Computed properties:
The total magnetization comes out at 8.68 μB per cell.


no.,E_form (eV per atom)
1,-0.008
2,0.063